# CsLaPb2 GGA-PBE relaxed
# Energy of formation from the pure elements, eV/atom: -0.038
# Calculated volume, Å³/cell: 606.87
# E above lowest polymorph, eV per formula unit: 1.281
data_CsLaPb2
_chemical_formula_sum 'Cs4 La4 Pb8'
_space_group_name_H-M_alt 'F m -3 m'
_space_group_IT_number 225
_space_group_name_Hall '-F 4 2 3'
_cell_length_a 8.4664
_cell_length_b 8.4664
_cell_length_c 8.4664
_cell_angle_alpha 90.00
_cell_angle_beta 90.00
_cell_angle_gamma 90.00
loop_
_atom_site_label
_atom_site_type_symbol
_atom_site_fract_x
_atom_site_fract_y
_atom_site_fract_z
_atom_site_occupancy
Cs1 Cs 0.0000 0.0000 0.0000 1
La1 La 0.0000 0.0000 0.5000 1
Pb1 Pb 0.2500 0.2500 0.2500 1